# PBE LaReRh2, optimized geometry
# **Energy**: -7.883 eV/atom
data_LaReRh2
_cell_length_a 3.2119
_cell_length_b 3.2119
_cell_length_c 7.2445
_cell_angle_alpha 90.00
_cell_angle_beta 90.00
_cell_angle_gamma 90.00
_space_group_name_H-M_alt 'P 1'
_space_group_IT_number 1
loop_
_space_group_symop_operation_xyz
'x,y,z'
loop_
_atom_site_label
_atom_site_fract_x
_atom_site_fract_y
_atom_site_fract_z
_atom_site_occupancy
La1 0.0000 0.0000 0.4877 1
Rh1 0.5000 0.5000 0.2088 1
Re1 0.5000 0.5000 0.8196 1
Rh2 0.0000 0.0000 0.9838 1